A plane-wave DFT calculation with PBE-GGA was carried out for a relaxed La2TbHo2Tm2 crystal.

Symmetry: No. 12
Formation energy: 0.087 eV per atom
Total magnetic moment: 0.00 μB per cell

abc: 6.1370 6.1370 11.8668
angles: 108.07 108.07 33.26
Sites, in units of the cell vectors:
La (0.1725, 0.1725, 0.0841)
La (0.8275, 0.8275, 0.9159)
Tb (0.5000, 0.5000, 0.5000)
Ho (0.2732, 0.2732, 0.6334)
Ho (0.7268, 0.7268, 0.3666)
Tm (0.0479, 0.0479, 0.7672)
Tm (0.9521, 0.9521, 0.2328)